A plane-wave DFT calculation with PBE was carried out for Be17PdRu after structural relaxation.

CIF file:
```
data_Be17PdRu
_space_group_name_H-M_alt 'R 3 m'
_space_group_IT_number 160
_space_group_name_Hall 'R 3 -2"'
_cell_length_a 7.2288
_cell_length_b 7.2288
_cell_length_c 10.6989
_cell_angle_alpha 90.00
_cell_angle_beta 90.00
_cell_angle_gamma 120.00
loop_
_atom_site_label
_atom_site_type_symbol
_atom_site_fract_x
_atom_site_fract_y
_atom_site_fract_z
_atom_site_occupancy
Be1 Be 0.0000 0.0000 0.0540 1
Be2 Be 0.0000 0.0000 0.2560 1
Be3 Be 0.0005 0.5002 0.3101 1
Be4 Be 0.0062 0.5031 0.6520 1
Be5 Be 0.0289 0.3610 0.8214 1
Be6 Be 0.1722 0.3443 0.3333 1
Pd1 Pd 0.0000 0.0000 0.4998 1
Ru1 Ru 0.0000 0.0000 0.8265 1
```

The total magnetization comes out at 0.000 μB/cell. Its energy is -4.273 eV per atom. As for the calculated density: 3.711 g/cm3. As for the crystal system: trigonal.